TaPd12Pb3 | GGA-PBE | relaxed

Lattice parameters (Å, degrees): 4.0641 4.0641 16.3811 90.00 90.00 90.00
Fractional positions:
Ta (0.0000, 0.0000, 0.0000)
Pd (0.0000, 0.5000, 0.1138)
Pd (0.0000, 0.5000, 0.3729)
Pd (0.0000, 0.5000, 0.6271)
Pd (0.0000, 0.5000, 0.8862)
Pd (0.5000, 0.0000, 0.1138)
Pd (0.5000, 0.0000, 0.3729)
Pd (0.5000, 0.0000, 0.6271)
Pd (0.5000, 0.0000, 0.8862)
Pd (0.5000, 0.5000, 0.0000)
Pd (0.5000, 0.5000, 0.2425)
Pd (0.5000, 0.5000, 0.5000)
Pd (0.5000, 0.5000, 0.7575)
Pb (0.0000, 0.0000, 0.2494)
Pb (0.0000, 0.0000, 0.5000)
Pb (0.0000, 0.0000, 0.7506)

Properties
ΔH_f (0 K)	-32.6	kJ/mol of atoms
DOS at the Fermi energy	3.55	states/eV per cell

---

TaPd3Pb | GGA-PBE | relaxed

Lattice parameters (Å, degrees): 4.9146 4.9146 4.9146 90.00 90.00 90.00
Fractional positions:
Ta (0.0000, 0.0000, 0.0000)
Pd (0.0000, 0.0000, 0.5000)
Pd (0.0000, 0.5000, 0.0000)
Pd (0.5000, 0.0000, 0.0000)
Pb (0.5000, 0.5000, 0.5000)

Properties
ΔH_f (0 K)	59.7	kJ/mol of atoms
offset from the most stable computed form	0.00	kJ/mol of atoms
DOS at the Fermi energy	4.88	states/eV per cell

---

What uncorrected energy values result from the calculations? In sequence: -5.67, -5.61 eV/atom.
What volume values result from the calculations? In sequence: 270.6, 118.7 Å³/f.u..
What magnetization values result from the calculations? In sequence: 0.000, 0.000 μB per atom.